# 1
## ZrTe2H (PBE)

Data for a geometry-optimized ZrTe2H structure.

The structure in POSCAR format:
```
ZrTe2H
1.0
3.9411 0.0001 0.0001
-0.0001 6.9606 0.0198
-0.0006 -0.9996 7.0588
Zr H Te
2 2 4
direct
0.0437 0.2038 0.7278
0.5206 0.7037 0.7279
0.2822 0.4537 0.2279
0.2821 0.9537 0.2279
0.0405 0.9111 0.9842
0.0405 0.4964 0.4714
0.5237 0.9964 0.4715
0.5238 0.4111 0.9843
```

- E: -4.951 eV per atom
- Density of states at the Fermi level: 3.82 states/eV per cell
- E above lowest polymorph: 0.243 eV per atom

---

# 2
## Np2Tl3ZnSe6 (PBE)

Data for a geometry-optimized Np2Tl3ZnSe6 structure.

The structure in POSCAR format:
```
Np2Tl3ZnSe6
1.0
7.1267 0.0070 -0.0044
-3.5555 6.1764 -0.0044
-1.1956 -2.0701 7.7651
Se Zn Np Tl
6 1 2 3
direct
0.3886 0.0658 0.1970
0.6114 0.9342 0.8030
0.7406 0.7406 0.2024
0.2594 0.2594 0.7976
0.0658 0.3886 0.1970
0.9342 0.6114 0.8030
0.0000 0.0000 0.0000
0.3340 0.6660 0.0000
0.6660 0.3340 0.0000
0.5000 0.5000 0.5000
0.8294 0.1706 0.5000
0.1706 0.8294 0.5000
```

- Uncorrected formation energy: -739 meV/atom
- E: -5.336 eV per atom
- Density of states at the Fermi level: 19.01 states/eV per cell

---

# 3
## KNpCu2O6 (PBE)

Data for a geometry-optimized KNpCu2O6 structure.

The structure in POSCAR format:
```
KNpCu2O6
1.0
6.7806 -0.1450 -0.1504
2.0046 6.9274 0.2184
2.0046 -0.0385 6.9307
K Np O Cu
2 2 12 4
direct
0.2500 0.8990 0.1010
0.7500 0.1010 0.8990
0.2500 0.2935 0.7065
0.7500 0.7065 0.2935
0.4510 0.7286 0.3515
0.1774 0.6043 0.7217
0.6774 0.7217 0.6043
0.2495 0.0090 0.7366
0.3226 0.2783 0.3957
0.5490 0.2714 0.6485
0.2505 0.2634 0.9910
0.7495 0.7366 0.0090
0.0490 0.6485 0.2714
0.7505 0.9910 0.2634
0.9510 0.3515 0.7286
0.8226 0.3957 0.2783
0.1252 0.3635 0.2402
0.8748 0.6365 0.7598
0.6252 0.2402 0.3635
0.3748 0.7598 0.6365
```

- Uncorrected formation energy: -1553 meV/atom
- E: -6.750 eV per atom
- Density of states at the Fermi level: 6.58 states/eV per cell